! GePS2N GGA-PBEsol optimized geometry; values from VASP
&SYSTEM
  ibrav = 0, nat = 5, ntyp = 4
/
ATOMIC_SPECIES
S 32.06 S.upf
P 30.97 P.upf
N 14.01 N.upf
Ge 72.64 Ge.upf
CELL_PARAMETERS angstrom
-0.462 3.082 -1.064
-0.614 -1.591 -4.341
-4.577 -0.410 0.798
ATOMIC_POSITIONS crystal
S 0.000 0.000 0.500
S 0.000 0.500 0.000
P 0.000 0.000 0.000
N 0.500 0.000 0.000
Ge 0.500 0.500 0.500
! E above lowest polymorph   0 meV/atom
! Formation energy from raw total energies   0.3246 eV per atom
! DOS at the Fermi energy   0.34 states/eV/atom


! RbGePdN2 GGA-PBEsol optimized geometry; values from VASP
&SYSTEM
  ibrav = 0, nat = 5, ntyp = 4
/
ATOMIC_SPECIES
N 14.01 N.upf
Pd 106.42 Pd.upf
Ge 72.64 Ge.upf
Rb 85.47 Rb.upf
CELL_PARAMETERS angstrom
4.247 0.000 0.000
0.000 4.247 0.000
0.000 0.000 4.815
ATOMIC_POSITIONS crystal
N 0.000 0.500 0.000
N 0.500 0.000 0.000
Pd 0.000 0.000 0.000
Ge 0.000 0.000 0.500
Rb 0.500 0.500 0.500
! Formation energy from raw total energies   1.3326 eV per atom
! DOS at the Fermi energy   0.68 states/eV/atom


! GePdS2N GGA-PBEsol optimized geometry; values from VASP
&SYSTEM
  ibrav = 0, nat = 5, ntyp = 4
/
ATOMIC_SPECIES
S 32.06 S.upf
N 14.01 N.upf
Pd 106.42 Pd.upf
Ge 72.64 Ge.upf
CELL_PARAMETERS angstrom
-2.289 1.439 2.215
-3.498 -0.748 -3.128
-0.814 -4.265 1.930
ATOMIC_POSITIONS crystal
S 0.000 0.500 0.000
S 0.000 0.000 0.500
N 0.500 0.000 0.000
Pd 0.500 0.500 0.500
Ge 0.000 0.000 0.000
! Formation energy from raw total energies   0.8213 eV per atom
! DOS at the Fermi energy   0.84 states/eV/atom


! RbTcGeN2 GGA-PBEsol optimized geometry; values from VASP
&SYSTEM
  ibrav = 0, nat = 5, ntyp = 4
/
ATOMIC_SPECIES
Rb 85.47 Rb.upf
N 14.01 N.upf
Ge 72.64 Ge.upf
Tc 98.00 Tc.upf
CELL_PARAMETERS angstrom
4.138 0.000 0.000
0.000 4.138 0.000
0.000 0.000 4.836
ATOMIC_POSITIONS crystal
Rb 0.500 0.500 0.500
N 0.500 0.000 0.000
N 0.000 0.500 0.000
Ge 0.000 0.000 0.000
Tc 0.000 0.000 0.500
! Formation energy from raw total energies   1.7807 eV per atom
! DOS at the Fermi energy   0.74 states/eV/atom